Entry 1:
Here is a relaxed Co3SnCl crystal from Alexandria. Energies are from PBE-GGA.

Cell: 4.204 4.204 4.204 Å, 90.00 90.00 90.00°
Fractional positions:
Co1 0.000 0.000 0.500
Co2 0.000 0.500 0.000
Co3 0.500 0.000 0.000
Sn1 0.500 0.500 0.500
Cl1 0.000 0.000 0.000

Output
E: -4.75 eV/atom
space-group type: No. 221
volume: 74 Å³ per cell
ρ: 7.40 g cm⁻³
crystal system: cubic

Entry 2:
Here is a relaxed Nd8SnTe4Se3 crystal from Alexandria. Energies are from PBE-GGA.

Cell: 8.900 8.900 8.900 Å, 58.90 58.90 58.90°
Fractional positions:
Nd1 0.235 0.746 0.746
Nd2 0.239 0.239 0.239
Nd3 0.254 0.254 0.765
Nd4 0.254 0.765 0.254
Nd5 0.746 0.235 0.746
Nd6 0.746 0.746 0.235
Nd7 0.761 0.761 0.761
Nd8 0.765 0.254 0.254
Sn1 0.500 0.500 0.500
Te1 0.000 0.000 0.000
Te2 0.000 0.500 0.500
Te3 0.500 0.000 0.500
Te4 0.500 0.500 0.000
Se1 0.000 0.000 0.500
Se2 0.000 0.500 0.000
Se3 0.500 0.000 0.000

Output
E: -5.59 eV/atom
space-group type: No. 166
volume: 486 Å³ per cell
ρ: 6.90 g cm⁻³
crystal system: trigonal